No. 1
{
  "formula": "TiAlV2",
  "functional": "PBE",
  "state": "optimized geometry",
  "formation_enthalpy_0k_ev_per_atom": 0.440,
  "lattice": [[-5.309, -4.196, -1.442], [-0.756, -1.360, 6.742], [-4.686, -0.762, 2.871]],
  "species": ["Ti", "Ti", "Al", "Al", "V", "V", "V", "V"],
  "frac_coords": [[0.000, 0.000, 0.000], [0.750, 0.250, 0.500], [0.500, 0.500, 0.000], [0.250, 0.750, 0.500], [0.622, 0.125, 0.250], [0.128, 0.625, 0.250], [0.375, 0.378, 0.750], [0.875, 0.872, 0.750]]
}

---

No. 2
{
  "formula": "Tb6NdSc4",
  "functional": "PBE",
  "state": "optimized geometry",
  "formation_enthalpy_0k_ev_per_atom": 0.340,
  "lattice": [[6.919, 0.000, 0.000], [0.000, 6.919, 0.000], [-3.459, -3.459, 7.062]],
  "species": ["Tb", "Tb", "Tb", "Tb", "Tb", "Tb", "Nd", "Sc", "Sc", "Sc", "Sc"],
  "frac_coords": [[0.905, 0.476, 0.381], [0.476, 0.905, 0.381], [0.524, 0.524, 0.619], [0.000, 0.500, 0.000], [0.095, 0.095, 0.619], [0.500, 0.000, 0.000], [0.500, 0.500, 0.000], [0.061, 0.760, 0.822], [0.939, 0.939, 0.178], [0.760, 0.061, 0.822], [0.240, 0.240, 0.178]]
}

---

No. 3
{
  "formula": "CsB2Pd",
  "functional": "PBE",
  "state": "optimized geometry",
  "formation_enthalpy_0k_ev_per_atom": 2.047,
  "lattice": [[0.000, 3.329, 3.329], [3.329, 0.000, 3.329], [3.329, 3.329, 0.000]],
  "species": ["Cs", "B", "B", "Pd"],
  "frac_coords": [[0.500, 0.500, 0.500], [0.250, 0.250, 0.250], [0.750, 0.750, 0.750], [0.000, 0.000, 0.000]]
}

---

No. 4
{
  "formula": "Sm3Mn4Sn4",
  "functional": "PBE",
  "state": "optimized geometry",
  "formation_enthalpy_0k_ev_per_atom": -0.290,
  "lattice": [[-2.282, 3.682, 7.475], [2.282, -3.682, 7.475], [2.282, 3.682, -7.475]],
  "species": ["Sm", "Sm", "Sm", "Mn", "Mn", "Mn", "Mn", "Sn", "Sn", "Sn", "Sn"],
  "frac_coords": [[0.500, 0.000, 0.500], [0.873, 0.873, 0.000], [0.127, 0.127, 0.000], [0.487, 0.675, 0.812], [0.863, 0.675, 0.188], [0.137, 0.325, 0.812], [0.513, 0.325, 0.188], [0.284, 0.784, 0.500], [0.716, 0.216, 0.500], [0.798, 0.500, 0.298], [0.202, 0.500, 0.702]]
}

---

No. 5
{
  "formula": "Dy5Er4Tm3",
  "functional": "PBE",
  "state": "optimized geometry",
  "formation_enthalpy_0k_ev_per_atom": 0.249,
  "lattice": [[-0.640, -3.943, -4.187], [-0.118, -7.789, 3.354], [-8.536, 1.296, -3.914]],
  "species": ["Dy", "Dy", "Dy", "Dy", "Dy", "Er", "Er", "Er", "Er", "Tm", "Tm", "Tm"],
  "frac_coords": [[0.627, 0.947, 0.798], [0.500, 0.500, 0.500], [0.212, 0.462, 0.115], [0.788, 0.538, 0.885], [0.373, 0.053, 0.202], [0.859, 0.221, 0.061], [0.163, 0.051, 0.622], [0.837, 0.949, 0.378], [0.141, 0.779, 0.939], [0.521, 0.688, 0.270], [0.000, 0.500, 0.500], [0.479, 0.312, 0.730]]
}

---

No. 6
{
  "formula": "LiOs2Pb",
  "functional": "PBE",
  "state": "optimized geometry",
  "formation_enthalpy_0k_ev_per_atom": 0.535,
  "lattice": [[4.420, 0.014, -0.010], [3.454, 2.758, -0.010], [0.815, 0.287, 5.814]],
  "species": ["Li", "Os", "Os", "Pb"],
  "frac_coords": [[0.253, 0.253, 0.215], [0.000, 0.000, 0.979], [0.749, 0.749, 0.816], [0.497, 0.497, 0.489]]
}

---

No. 7
{
  "formula": "BSb2I",
  "functional": "PBE",
  "state": "optimized geometry",
  "formation_energy_uncorrected_mev_per_atom": 585,
  "lattice": [[7.007, 0.000, 0.000], [0.000, 7.007, 0.000], [3.504, 3.504, 4.539]],
  "species": ["I", "I", "Sb", "Sb", "Sb", "Sb", "B", "B"],
  "frac_coords": [[0.000, 0.000, 0.000], [0.750, 0.250, 0.500], [0.518, 0.125, 0.250], [0.232, 0.625, 0.250], [0.375, 0.482, 0.750], [0.875, 0.768, 0.750], [0.500, 0.500, 0.000], [0.250, 0.750, 0.500]]
}

---

No. 8
{
  "formula": "TlZnGa",
  "functional": "PBE",
  "state": "optimized geometry",
  "formation_enthalpy_0k_ev_per_atom": 0.091,
  "lattice": [[-0.047, 5.542, -0.624], [-3.834, 0.418, 3.997], [6.174, 0.711, 5.848]],
  "species": ["Tl", "Tl", "Tl", "Tl", "Zn", "Zn", "Zn", "Zn", "Ga", "Ga", "Ga", "Ga"],
  "frac_coords": [[0.500, 0.250, 0.129], [0.000, 0.750, 0.629], [0.500, 0.750, 0.871], [0.000, 0.250, 0.371], [0.750, 0.250, 0.750], [0.750, 0.750, 0.250], [0.250, 0.750, 0.250], [0.250, 0.250, 0.750], [0.000, 0.000, 0.000], [0.500, 0.500, 0.500], [0.500, 0.000, 0.500], [0.000, 0.500, 0.000]]
}

---

No. 9
{
  "formula": "Cs2DyHgCl6",
  "functional": "PBE",
  "state": "optimized geometry",
  "formation_energy_uncorrected_mev_per_atom": -1772,
  "lattice": [[-0.111, 2.992, 7.344], [-5.793, -5.056, 1.973], [7.656, -7.530, 3.184]],
  "species": ["Cs", "Cs", "Cs", "Cs", "Dy", "Dy", "Hg", "Hg", "Cl", "Cl", "Cl", "Cl", "Cl", "Cl", "Cl", "Cl", "Cl", "Cl", "Cl", "Cl"],
  "frac_coords": [[0.500, 0.751, 0.250], [0.000, 0.249, 0.750], [0.500, 0.751, 0.750], [0.000, 0.249, 0.250], [0.500, 0.249, 0.500], [0.000, 0.751, 0.000], [0.000, 0.749, 0.500], [0.500, 0.251, 0.000], [0.500, 0.248, 0.264], [0.500, 0.248, 0.736], [0.000, 0.752, 0.236], [0.000, 0.752, 0.764], [0.264, 0.015, 0.500], [0.736, 0.015, 0.500], [0.265, 0.485, 0.500], [0.735, 0.485, 0.500], [0.765, 0.515, 0.000], [0.235, 0.515, 0.000], [0.236, 0.985, 0.000], [0.764, 0.985, 0.000]]
}

---

No. 10
{
  "formula": "RuRhC",
  "functional": "PBE",
  "state": "optimized geometry",
  "formation_enthalpy_0k_ev_per_atom": 0.395,
  "lattice": [[4.311, 0.000, -0.006], [0.000, 2.800, 0.000], [-3.549, 0.000, 12.128]],
  "species": ["Ru", "Ru", "Ru", "Ru", "C", "C", "C", "C", "Rh", "Rh", "Rh", "Rh"],
  "frac_coords": [[0.003, 0.000, 0.985], [0.003, 0.500, 0.485], [0.602, 0.000, 0.104], [0.602, 0.500, 0.604], [0.722, 0.000, 0.724], [0.722, 0.500, 0.224], [0.705, 0.000, 0.834], [0.705, 0.500, 0.334], [0.164, 0.000, 0.684], [0.164, 0.500, 0.184], [0.448, 0.000, 0.395], [0.448, 0.500, 0.895]]
}

---

No. 11
{
  "formula": "Cr2HgIr",
  "functional": "PBE",
  "state": "optimized geometry",
  "formation_enthalpy_0k_ev_per_atom": 0.353,
  "lattice": [[-2.269, 0.601, -4.731], [-2.983, -3.961, -1.818], [0.773, 3.624, 3.763]],
  "species": ["Cr", "Cr", "Hg", "Ir"],
  "frac_coords": [[0.010, 0.010, 0.000], [0.224, 0.724, 0.500], [0.494, 0.494, 0.000], [0.771, 0.271, 0.500]]
}

---

No. 12
{
  "formula": "NpGaSn2",
  "functional": "PBE",
  "state": "optimized geometry",
  "formation_enthalpy_0k_ev_per_atom": 0.057,
  "lattice": [[3.075, 0.000, 0.000], [0.000, 5.699, 0.000], [0.000, 0.000, 5.699]],
  "species": ["Np", "Sn", "Sn", "Ga"],
  "frac_coords": [[0.500, 0.500, 0.500], [0.000, 0.000, 0.500], [0.000, 0.500, 0.000], [0.500, 0.000, 0.000]]
}

---

No. 13
{
  "formula": "Re2SbTe",
  "functional": "PBE",
  "state": "optimized geometry",
  "formation_energy_uncorrected_mev_per_atom": 465,
  "lattice": [[10.551, -0.003, -0.002], [10.095, 3.067, -0.002], [10.095, 1.498, 2.676]],
  "species": ["Re", "Re", "Sb", "Te"],
  "frac_coords": [[0.991, 0.991, 0.991], [0.259, 0.259, 0.259], [0.524, 0.524, 0.524], [0.726, 0.726, 0.726]]
}

---

No. 14
{
  "formula": "Zr2AlCu3",
  "functional": "PBE",
  "state": "optimized geometry",
  "formation_enthalpy_0k_ev_per_atom": -0.265,
  "lattice": [[5.199, 0.000, 0.000], [-2.600, 4.502, 0.000], [0.000, 0.000, 8.179]],
  "species": ["Al", "Al", "Cu", "Cu", "Cu", "Cu", "Cu", "Cu", "Zr", "Zr", "Zr", "Zr"],
  "frac_coords": [[0.000, 0.000, 0.000], [0.000, 0.000, 0.500], [0.830, 0.660, 0.250], [0.340, 0.170, 0.250], [0.830, 0.170, 0.250], [0.170, 0.340, 0.750], [0.660, 0.830, 0.750], [0.170, 0.830, 0.750], [0.333, 0.667, 0.057], [0.667, 0.333, 0.557], [0.667, 0.333, 0.943], [0.333, 0.667, 0.443]]
}

---

No. 15
{
  "formula": "Y2SiTe",
  "functional": "PBE",
  "state": "optimized geometry",
  "formation_energy_uncorrected_mev_per_atom": -1058,
  "lattice": [[4.210, 0.000, 0.000], [2.105, 3.646, 0.000], [2.105, 1.215, 7.245]],
  "species": ["Y", "Y", "Si", "Te"],
  "frac_coords": [[0.071, 0.071, 0.786], [0.262, 0.262, 0.214], [0.668, 0.668, 0.996], [0.499, 0.499, 0.503]]
}

---

No. 16
{
  "formula": "SnHOs",
  "functional": "PBE",
  "state": "optimized geometry",
  "e_tot_ev_per_cell": -35.70,
  "lattice": [[-1.284, -1.066, -2.623], [1.208, -2.933, 0.601], [-6.640, -1.911, 4.027]],
  "species": ["Sn", "Sn", "H", "H", "Os", "Os"],
  "frac_coords": [[0.000, 0.000, 0.355], [0.000, 0.500, 0.855], [0.500, 0.000, 0.053], [0.500, 0.500, 0.553], [0.500, 0.000, 0.644], [0.500, 0.500, 0.144]]
}

---

No. 17
{
  "formula": "PuSc5Al4",
  "functional": "PBE",
  "state": "optimized geometry",
  "formation_enthalpy_0k_ev_per_atom": -0.343,
  "lattice": [[-0.532, 3.110, 0.616], [-2.470, -0.015, -2.058], [-12.236, -5.011, 14.719]],
  "species": ["Pu", "Sc", "Sc", "Sc", "Sc", "Sc", "Al", "Al", "Al", "Al"],
  "frac_coords": [[0.000, 0.000, 0.000], [0.500, 0.500, 0.120], [0.500, 0.500, 0.310], [0.500, 0.500, 0.500], [0.500, 0.500, 0.690], [0.500, 0.500, 0.880], [0.000, 0.000, 0.214], [0.000, 0.000, 0.405], [0.000, 0.000, 0.595], [0.000, 0.000, 0.786]]
}

---

No. 18
{
  "formula": "Nd2Si5Ir3",
  "functional": "PBE",
  "state": "optimized geometry",
  "formation_energy_uncorrected_mev_per_atom": -962,
  "lattice": [[5.560, 0.009, 2.040], [3.033, 7.663, 0.342], [0.150, -0.423, 8.236]],
  "species": ["Nd", "Nd", "Nd", "Nd", "Si", "Si", "Si", "Si", "Si", "Si", "Si", "Si", "Si", "Si", "Ir", "Ir", "Ir", "Ir", "Ir", "Ir"],
  "frac_coords": [[0.268, 0.862, 0.602], [0.232, 0.398, 0.138], [0.732, 0.138, 0.398], [0.768, 0.602, 0.862], [0.347, 0.046, 0.261], [0.153, 0.739, 0.954], [0.653, 0.954, 0.739], [0.847, 0.261, 0.046], [0.250, 0.228, 0.772], [0.750, 0.772, 0.228], [0.250, 0.499, 0.501], [0.750, 0.501, 0.499], [0.250, 0.773, 0.227], [0.750, 0.227, 0.773], [0.111, 0.249, 0.527], [0.389, 0.473, 0.751], [0.889, 0.751, 0.473], [0.611, 0.527, 0.249], [0.250, 0.000, 0.000], [0.750, 0.000, 0.000]]
}

---

No. 19
{
  "formula": "CsCe2AgSe5",
  "functional": "PBE",
  "state": "optimized geometry",
  "formation_energy_uncorrected_mev_per_atom": -1325,
  "lattice": [[8.131, 0.000, 0.000], [0.000, 8.131, 0.000], [-4.065, -4.065, 7.799]],
  "species": ["Cs", "Cs", "Ce", "Ce", "Ce", "Ce", "Ag", "Ag", "Se", "Se", "Se", "Se", "Se", "Se", "Se", "Se", "Se", "Se"],
  "frac_coords": [[0.250, 0.250, 0.500], [0.750, 0.750, 0.500], [0.163, 0.337, 0.000], [0.663, 0.163, 0.000], [0.337, 0.837, 0.000], [0.837, 0.663, 0.000], [0.250, 0.750, 0.500], [0.750, 0.250, 0.500], [0.972, 0.472, 0.232], [0.741, 0.241, 0.768], [0.028, 0.528, 0.768], [0.241, 0.028, 0.768], [0.528, 0.741, 0.768], [0.759, 0.972, 0.232], [0.472, 0.259, 0.232], [0.259, 0.759, 0.232], [0.500, 0.500, 0.000], [0.000, 0.000, 0.000]]
}

---

No. 20
{
  "formula": "Zr3Te",
  "functional": "PBE",
  "state": "optimized geometry",
  "formation_energy_uncorrected_mev_per_atom": 183,
  "lattice": [[10.947, -2.838, 0.007], [10.947, 2.838, 0.007], [10.208, 0.000, 4.866]],
  "species": ["Zr", "Zr", "Zr", "Zr", "Zr", "Zr", "Zr", "Zr", "Zr", "Te", "Te", "Te"],
  "frac_coords": [[0.584, 0.088, 0.584], [0.584, 0.584, 0.088], [0.088, 0.584, 0.584], [0.416, 0.912, 0.416], [0.416, 0.416, 0.912], [0.912, 0.416, 0.416], [0.333, 0.333, 0.333], [0.667, 0.667, 0.667], [0.500, 0.500, 0.500], [0.126, 0.126, 0.126], [0.874, 0.874, 0.874], [0.000, 0.000, 0.000]]
}

---

No. 21
{
  "formula": "Pm5Hf2Se12",
  "functional": "PBE",
  "state": "optimized geometry",
  "formation_energy_uncorrected_mev_per_atom": -1618,
  "lattice": [[7.483, 0.000, 0.000], [-3.741, 8.182, 0.077], [0.000, -2.792, 8.869]],
  "species": ["Pm", "Pm", "Pm", "Pm", "Pm", "Hf", "Hf", "Se", "Se", "Se", "Se", "Se", "Se", "Se", "Se", "Se", "Se", "Se", "Se"],
  "frac_coords": [[0.295, 0.590, 0.642], [0.313, 0.626, 0.165], [0.000, 0.000, 0.500], [0.687, 0.374, 0.835], [0.705, 0.410, 0.358], [0.745, 0.000, 0.000], [0.255, 0.000, 0.000], [0.996, 0.992, 0.191], [0.087, 0.662, 0.911], [0.575, 0.662, 0.911], [0.105, 0.705, 0.433], [0.600, 0.705, 0.433], [0.496, 0.992, 0.788], [0.504, 0.008, 0.212], [0.895, 0.295, 0.567], [0.400, 0.295, 0.567], [0.913, 0.338, 0.089], [0.425, 0.338, 0.089], [0.004, 0.008, 0.809]]
}

---

No. 22
{
  "formula": "NpSi2Os4",
  "functional": "PBE",
  "state": "optimized geometry",
  "formation_energy_uncorrected_mev_per_atom": -294,
  "lattice": [[-0.980, 1.891, -3.318], [1.204, -3.111, -2.128], [-7.166, -1.226, 1.417]],
  "species": ["Np", "Si", "Si", "Os", "Os", "Os", "Os"],
  "frac_coords": [[0.000, 0.000, 0.000], [0.500, 0.583, 0.166], [0.500, 0.417, 0.834], [0.500, 0.813, 0.626], [0.000, 0.689, 0.378], [0.500, 0.187, 0.374], [0.000, 0.311, 0.622]]
}

---

no.,calculated density (g/cm3),V (Å³ per cell)
1,4.7,125.3
2,6.3,338.1
3,5.9,73.8
4,7.6,251.2
5,8.8,377.0
6,14.0,70.6
7,5.7,222.9
8,8.5,264.3
9,4.0,705.2
10,9.8,146.3
11,13.4,61.4
12,9.0,99.9
13,11.9,86.7
14,6.9,191.4
15,5.0,111.2
16,12.8,80.3
17,4.7,204.5
18,9.6,346.5
19,5.9,515.6
20,6.6,301.9
21,6.2,544.6
22,15.7,111.4